Record 1
{
  "formula": "Y2BePd",
  "functional": "PBE",
  "state": "optimized geometry",
  "lattice": [[-2.887, 6.175, -3.049], [0.713, -3.021, -6.792], [-4.210, 0.247, -4.657]],
  "species": ["Y", "Y", "Y", "Y", "Be", "Be", "Pd", "Pd"],
  "fractional_positions": [[0.626, 0.125, 0.250], [0.124, 0.625, 0.250], [0.375, 0.374, 0.750], [0.875, 0.876, 0.750], [0.500, 0.500, 0.000], [0.250, 0.750, 0.500], [0.000, 0.000, 0.000], [0.750, 0.250, 0.500]],
  "mass_density_g_cm3": 5.1,
  "vol_a3_per_fu": 94.92,
  "ef_mev_per_atom": 105,
  "crystal_system": "tetragonal"
}

=====

Record 2
{
  "formula": "SrTl2Br",
  "functional": "PBE",
  "state": "optimized geometry",
  "lattice": [[6.370, -0.039, 0.000], [-3.240, 5.485, 0.000], [0.000, 0.000, 4.079]],
  "species": ["Sr", "Tl", "Tl", "Br"],
  "fractional_positions": [[0.000, 0.500, 0.500], [0.000, 0.000, 0.000], [0.500, 0.500, 0.000], [0.500, 0.000, 0.500]],
  "mass_density_g_cm3": 6.7,
  "vol_a3_per_fu": 141.99,
  "formation_energy_uncorrected_ev_per_atom": -0.521,
  "crystal_system": "orthorhombic"
}